# 1
# PBE InCuTc, optimized geometry
data_InCuTc
_cell_length_a 4.250
_cell_length_b 4.250
_cell_length_c 4.250
_cell_angle_alpha 60.00
_cell_angle_beta 60.00
_cell_angle_gamma 60.00
_symmetry_space_group_name_H-M 'P 1'
_symmetry_Int_Tables_number 1
_symmetry_space_group_name_Hall 'P 1'
loop_
_atom_site_label
_atom_site_type_symbol
_atom_site_fract_x
_atom_site_fract_y
_atom_site_fract_z
_atom_site_occupancy
Cu1 Cu 0.750 0.750 0.750 1
In1 In 0.000 0.000 0.000 1
Tc1 Tc 0.500 0.500 0.500 1
# final energy: -5.15 eV per atom
# offset from the most stable computed form: 231 meV/atom

# 2
# PBE ScMnP, optimized geometry
data_ScMnP
_cell_length_a 4.167
_cell_length_b 4.167
_cell_length_c 4.167
_cell_angle_alpha 60.00
_cell_angle_beta 60.00
_cell_angle_gamma 60.00
_symmetry_space_group_name_H-M 'P 1'
_symmetry_Int_Tables_number 1
_symmetry_space_group_name_Hall 'P 1'
loop_
_atom_site_label
_atom_site_type_symbol
_atom_site_fract_x
_atom_site_fract_y
_atom_site_fract_z
_atom_site_occupancy
Sc1 Sc 0.000 0.000 0.000 1
Mn1 Mn 0.500 0.500 0.500 1
P1 P 0.750 0.750 0.750 1
# final energy: -7.60 eV per atom

# 3
# PBE TcPtBrN2, optimized geometry
data_TcPtBrN2
_cell_length_a 3.770
_cell_length_b 7.549
_cell_length_c 3.770
_cell_angle_alpha 90.00
_cell_angle_beta 90.00
_cell_angle_gamma 90.00
_symmetry_space_group_name_H-M 'P 1'
_symmetry_Int_Tables_number 1
_symmetry_space_group_name_Hall 'P 1'
loop_
_atom_site_label
_atom_site_type_symbol
_atom_site_fract_x
_atom_site_fract_y
_atom_site_fract_z
_atom_site_occupancy
Br1 Br 0.000 0.500 0.000 1
Tc1 Tc 0.500 0.500 0.500 1
Pt1 Pt 0.000 0.000 0.000 1
N1 N 0.000 0.000 0.500 1
N2 N 0.500 0.000 0.000 1
# final energy: -5.40 eV per atom

# 4
# PBE Tm2CdBr, optimized geometry
data_Tm2CdBr
_cell_length_a 3.457
_cell_length_b 3.457
_cell_length_c 11.187
_cell_angle_alpha 81.11
_cell_angle_beta 81.11
_cell_angle_gamma 60.00
_symmetry_space_group_name_H-M 'P 1'
_symmetry_Int_Tables_number 1
_symmetry_space_group_name_Hall 'P 1'
loop_
_atom_site_label
_atom_site_type_symbol
_atom_site_fract_x
_atom_site_fract_y
_atom_site_fract_z
_atom_site_occupancy
Tm1 Tm 0.095 0.095 0.715 1
Tm2 Tm 0.905 0.905 0.285 1
Br1 Br 0.500 0.500 0.500 1
Cd1 Cd 0.000 0.000 0.000 1
# final energy: -3.11 eV per atom

# 5
# PBE NpNbSe4, optimized geometry
data_NpNbSe4
_cell_length_a 7.592
_cell_length_b 6.149
_cell_length_c 7.894
_cell_angle_alpha 90.00
_cell_angle_beta 119.62
_cell_angle_gamma 90.00
_symmetry_space_group_name_H-M 'P 1'
_symmetry_Int_Tables_number 1
_symmetry_space_group_name_Hall 'P 1'
loop_
_atom_site_label
_atom_site_type_symbol
_atom_site_fract_x
_atom_site_fract_y
_atom_site_fract_z
_atom_site_occupancy
Np1 Np 0.000 0.000 0.000 1
Np2 Np 0.500 0.500 0.000 1
Nb1 Nb 0.500 0.000 0.500 1
Nb2 Nb 0.000 0.500 0.500 1
Se1 Se 0.851 0.745 0.199 1
Se2 Se 0.649 0.245 0.801 1
Se3 Se 0.178 0.246 0.347 1
Se4 Se 0.322 0.746 0.653 1
Se5 Se 0.149 0.255 0.801 1
Se6 Se 0.351 0.755 0.199 1
Se7 Se 0.822 0.754 0.653 1
Se8 Se 0.678 0.254 0.347 1
# final energy: -6.93 eV per atom

# 6
# PBE PmZr2F11, optimized geometry
data_PmZr2F11
_cell_length_a 7.882
_cell_length_b 8.442
_cell_length_c 8.442
_cell_angle_alpha 73.79
_cell_angle_beta 62.17
_cell_angle_gamma 62.17
_symmetry_space_group_name_H-M 'P 1'
_symmetry_Int_Tables_number 1
_symmetry_space_group_name_Hall 'P 1'
loop_
_atom_site_label
_atom_site_type_symbol
_atom_site_fract_x
_atom_site_fract_y
_atom_site_fract_z
_atom_site_occupancy
Pm1 Pm 0.750 0.750 0.750 1
Pm2 Pm 0.250 0.250 0.250 1
Zr1 Zr 0.636 0.682 0.318 1
Zr2 Zr 0.364 0.318 0.682 1
Zr3 Zr 0.864 0.182 0.818 1
Zr4 Zr 0.136 0.818 0.182 1
F1 F 0.637 0.708 0.554 1
F2 F 0.363 0.292 0.446 1
F3 F 0.101 0.554 0.708 1
F4 F 0.863 0.946 0.792 1
F5 F 0.899 0.446 0.292 1
F6 F 0.137 0.054 0.208 1
F7 F 0.399 0.792 0.946 1
F8 F 0.601 0.208 0.054 1
F9 F 0.500 0.500 0.500 1
F10 F 0.000 0.000 0.000 1
F11 F 0.871 0.782 0.218 1
F12 F 0.129 0.218 0.782 1
F13 F 0.629 0.282 0.718 1
F14 F 0.371 0.718 0.282 1
F15 F 0.464 0.956 0.320 1
F16 F 0.536 0.044 0.680 1
F17 F 0.260 0.320 0.956 1
F18 F 0.036 0.180 0.544 1
F19 F 0.740 0.680 0.044 1
F20 F 0.964 0.820 0.456 1
F21 F 0.240 0.544 0.180 1
F22 F 0.760 0.456 0.820 1
# final energy: -6.85 eV per atom

# 7
# PBE NaTaCd2, optimized geometry
data_NaTaCd2
_cell_length_a 7.627
_cell_length_b 7.627
_cell_length_c 6.262
_cell_angle_alpha 52.48
_cell_angle_beta 52.48
_cell_angle_gamma 90.00
_symmetry_space_group_name_H-M 'P 1'
_symmetry_Int_Tables_number 1
_symmetry_space_group_name_Hall 'P 1'
loop_
_atom_site_label
_atom_site_type_symbol
_atom_site_fract_x
_atom_site_fract_y
_atom_site_fract_z
_atom_site_occupancy
Na1 Na 0.500 0.500 0.000 1
Na2 Na 0.250 0.750 0.500 1
Cd1 Cd 0.628 0.125 0.250 1
Cd2 Cd 0.122 0.625 0.250 1
Cd3 Cd 0.375 0.372 0.750 1
Cd4 Cd 0.875 0.878 0.750 1
Ta1 Ta 0.000 0.000 0.000 1
Ta2 Ta 0.750 0.250 0.500 1
# final energy: -2.85 eV per atom
# offset from the most stable computed form: 310 meV/atom

# 8
# PBE Sr2MgPd, optimized geometry
data_Sr2MgPd
_cell_length_a 4.573
_cell_length_b 4.572
_cell_length_c 8.414
_cell_angle_alpha 74.13
_cell_angle_beta 74.23
_cell_angle_gamma 60.00
_symmetry_space_group_name_H-M 'P 1'
_symmetry_Int_Tables_number 1
_symmetry_space_group_name_Hall 'P 1'
loop_
_atom_site_label
_atom_site_type_symbol
_atom_site_fract_x
_atom_site_fract_y
_atom_site_fract_z
_atom_site_occupancy
Sr1 Sr 0.892 0.656 0.559 1
Sr2 Sr 0.712 0.474 0.101 1
Mg1 Mg 0.136 0.898 0.830 1
Pd1 Pd 0.470 0.233 0.827 1
# final energy: -2.91 eV per atom

# 9
# PBE NpPaPdPb, optimized geometry
data_NpPaPdPb
_cell_length_a 5.089
_cell_length_b 5.089
_cell_length_c 5.089
_cell_angle_alpha 60.00
_cell_angle_beta 60.00
_cell_angle_gamma 60.00
_symmetry_space_group_name_H-M 'P 1'
_symmetry_Int_Tables_number 1
_symmetry_space_group_name_Hall 'P 1'
loop_
_atom_site_label
_atom_site_type_symbol
_atom_site_fract_x
_atom_site_fract_y
_atom_site_fract_z
_atom_site_occupancy
Np1 Np 0.500 0.500 0.500 1
Pb1 Pb 0.250 0.250 0.250 1
Pa1 Pa 0.750 0.750 0.750 1
Pd1 Pd 0.000 0.000 0.000 1
# final energy: -7.69 eV per atom

# 10
# PBE KLi2Mn, optimized geometry
data_KLi2Mn
_cell_length_a 5.425
_cell_length_b 5.425
_cell_length_c 5.425
_cell_angle_alpha 60.00
_cell_angle_beta 60.00
_cell_angle_gamma 60.00
_symmetry_space_group_name_H-M 'P 1'
_symmetry_Int_Tables_number 1
_symmetry_space_group_name_Hall 'P 1'
loop_
_atom_site_label
_atom_site_type_symbol
_atom_site_fract_x
_atom_site_fract_y
_atom_site_fract_z
_atom_site_occupancy
K1 K 0.500 0.500 0.500 1
Li1 Li 0.000 0.000 0.000 1
Li2 Li 0.250 0.250 0.250 1
Mn1 Mn 0.750 0.750 0.750 1
# final energy: -2.87 eV per atom
# offset from the most stable computed form: 194 meV/atom

# 11
# PBE CrRe5B2, optimized geometry
data_CrRe5B2
_cell_length_a 4.890
_cell_length_b 4.890
_cell_length_c 7.213
_cell_angle_alpha 90.00
_cell_angle_beta 90.00
_cell_angle_gamma 145.44
_symmetry_space_group_name_H-M 'P 1'
_symmetry_Int_Tables_number 1
_symmetry_space_group_name_Hall 'P 1'
loop_
_atom_site_label
_atom_site_type_symbol
_atom_site_fract_x
_atom_site_fract_y
_atom_site_fract_z
_atom_site_occupancy
Cr1 Cr 0.574 0.426 0.000 1
Re1 Re 0.868 0.132 0.182 1
Re2 Re 0.137 0.863 0.305 1
Re3 Re 0.868 0.132 0.818 1
Re4 Re 0.137 0.863 0.695 1
Re5 Re 0.428 0.572 0.500 1
B1 B 0.244 0.756 0.000 1
B2 B 0.745 0.255 0.500 1
# final energy: -10.86 eV per atom

# 12
# PBE La2Si3Pd5, optimized geometry
data_La2Si3Pd5
_cell_length_a 4.162
_cell_length_b 4.162
_cell_length_c 10.946
_cell_angle_alpha 90.00
_cell_angle_beta 90.00
_cell_angle_gamma 90.00
_symmetry_space_group_name_H-M 'P 1'
_symmetry_Int_Tables_number 1
_symmetry_space_group_name_Hall 'P 1'
loop_
_atom_site_label
_atom_site_type_symbol
_atom_site_fract_x
_atom_site_fract_y
_atom_site_fract_z
_atom_site_occupancy
La1 La 0.500 0.000 0.239 1
La2 La 0.000 0.500 0.761 1
Si1 Si 0.500 0.000 0.625 1
Si2 Si 0.000 0.500 0.375 1
Si3 Si 0.000 0.000 0.500 1
Pd1 Pd 0.500 0.500 0.000 1
Pd2 Pd 0.000 0.000 0.000 1
Pd3 Pd 0.500 0.000 0.838 1
Pd4 Pd 0.000 0.500 0.162 1
Pd5 Pd 0.500 0.500 0.500 1
# final energy: -5.92 eV per atom
# offset from the most stable computed form: 117 meV/atom